1.
The following is a DFT calculation (PBE-GGA) of crystalline Hf3ThSb2 at its relaxed geometry.

Cell lengths 9.548, 9.548, 8.941 Å; angles 115.47, 115.47, 24.49 degrees
Positions (direct):
Hf 0.055 0.055 0.423
Hf 0.315 0.315 0.541
Hf 0.407 0.407 0.300
Hf 0.593 0.593 0.700
Hf 0.685 0.685 0.459
Hf 0.945 0.945 0.577
Th 0.135 0.135 0.054
Th 0.865 0.865 0.946
Sb 0.217 0.217 0.743
Sb 0.474 0.474 0.824
Sb 0.526 0.526 0.176
Sb 0.783 0.783 0.257

Properties
Space group: C2/m, No. 12
Uncorrected energy in eV/atom: -7.970

***

2.
The following is a DFT calculation (PBE-GGA) of crystalline HfTiSb3 at its relaxed geometry.

Cell lengths 5.189, 5.189, 5.189 Å; angles 90.00, 90.00, 90.00 degrees
Positions (direct):
Hf 0.000 0.000 0.000
Ti 0.500 0.500 0.500
Sb 0.000 0.500 0.500
Sb 0.500 0.000 0.500
Sb 0.500 0.500 0.000

Properties
Space group: Pm-3m, No. 221
Uncorrected energy in eV/atom: -5.515

***

3.
The following is a DFT calculation (PBE-GGA) of crystalline HfTiSb at its relaxed geometry.

Cell lengths 6.855, 6.855, 5.128 Å; angles 98.92, 98.92, 32.12 degrees
Positions (direct):
Hf 0.083 0.083 0.245
Hf 0.917 0.917 0.755
Ti 0.419 0.419 0.254
Ti 0.581 0.581 0.746
Sb 0.243 0.243 0.755
Sb 0.757 0.757 0.245

Properties
Space group: C2/m, No. 12
Uncorrected energy in eV/atom: -7.497

***

4.
The following is a DFT calculation (PBE-GGA) of crystalline Hf2TiSb3 at its relaxed geometry.

Cell lengths 7.001, 7.001, 6.993 Å; angles 99.46, 99.46, 119.31 degrees
Positions (direct):
Hf 0.076 0.924 0.750
Hf 0.229 0.771 0.250
Hf 0.771 0.229 0.750
Hf 0.924 0.076 0.250
Ti 0.400 0.600 0.750
Ti 0.600 0.400 0.250
Sb 0.000 0.500 0.500
Sb 0.201 0.359 0.022
Sb 0.359 0.201 0.522
Sb 0.500 0.000 0.000
Sb 0.641 0.799 0.478
Sb 0.799 0.641 0.978

Properties
Space group: C2/c, No. 15
Uncorrected energy in eV/atom: -7.014

***

5.
The following is a DFT calculation (PBE-GGA) of crystalline Hf2Ti3Sb2 at its relaxed geometry.

Cell lengths 5.613, 5.613, 7.232 Å; angles 106.79, 106.79, 40.88 degrees
Positions (direct):
Hf 0.101 0.101 0.243
Hf 0.899 0.899 0.757
Ti 0.380 0.380 0.059
Ti 0.500 0.500 0.500
Ti 0.620 0.620 0.941
Sb 0.176 0.176 0.694
Sb 0.824 0.824 0.306

Properties
Space group: C2/m, No. 12
Uncorrected energy in eV/atom: -7.786

***

6.
The following is a DFT calculation (PBE-GGA) of crystalline HfTi2Sb2 at its relaxed geometry.

Cell lengths 7.380, 7.380, 7.380 Å; angles 147.84, 147.84, 46.11 degrees
Positions (direct):
Hf 0.000 0.000 0.000
Ti 0.404 0.404 0.000
Ti 0.596 0.596 0.000
Sb 0.250 0.750 0.500
Sb 0.750 0.250 0.500

Properties
Space group: I4/mmm, No. 139
Uncorrected energy in eV/atom: -6.510